VASP calculation (PBE+U) on a geometry-optimized Al2CoO4 structure.

Geometry as POSCAR:
```
Al2CoO4
1.0
-3.9080 12.6279 13.9004
-9.0127 9.9323 13.7142
-4.7130 7.7575 16.8987
Al Co O
16 8 32
direct
0.3112 0.3112 0.3112
0.2736 0.7845 0.7845
0.7845 0.7845 0.2736
0.5621 0.5621 0.5621
0.7845 0.2736 0.7845
0.5283 0.0329 0.0329
0.0329 0.0329 0.5283
0.0329 0.5283 0.0329
0.7809 0.2813 0.2813
0.2813 0.2813 0.7809
0.1561 0.1561 0.1561
0.2813 0.7809 0.2813
0.0275 0.5335 0.5335
0.5335 0.5335 0.0275
0.4063 0.4063 0.4063
0.5335 0.0275 0.5335
0.0008 0.0008 0.0008
0.6568 0.6568 0.6568
0.2505 0.2505 0.2505
0.9063 0.9063 0.9063
0.8130 0.8130 0.8130
0.5000 0.5000 0.5000
0.0617 0.0617 0.0617
0.7504 0.7504 0.7504
0.4707 0.9564 0.4707
0.4707 0.4707 0.9564
0.5951 0.5951 0.5951
0.9564 0.4707 0.4707
0.6265 0.0805 0.0805
0.7187 0.2129 0.7187
0.7187 0.7187 0.2129
0.9656 0.9656 0.9656
0.8487 0.8487 0.8487
0.0805 0.0805 0.6265
0.2129 0.7187 0.7187
0.0805 0.6265 0.0805
0.8850 0.3247 0.3247
0.9865 0.4300 0.9865
0.9865 0.9865 0.4300
0.3247 0.3247 0.8850
0.2154 0.2154 0.2154
0.0972 0.0972 0.0972
0.4300 0.9865 0.9865
0.3247 0.8850 0.3247
0.1342 0.5756 0.5756
0.2393 0.6737 0.2393
0.2393 0.2393 0.6737
0.3438 0.3438 0.3438
0.4653 0.4653 0.4653
0.5756 0.5756 0.1342
0.6737 0.2393 0.2393
0.5756 0.1342 0.5756
0.3728 0.8346 0.8346
0.8346 0.8346 0.3728
0.7161 0.7161 0.7161
0.8346 0.3728 0.8346
```

Energy above the lowest structure with this stoichiometry ... 44 meV per atom
Space-group type ... No. 160
V ... 9.7 Å³/atom
Total magnetization ... 2.750 μB/f.u.